No. 1
VASP calculation (PBE) on PuZrZnRu after structural relaxation.

Results
Theoretical density   10.69 g cm⁻³
Magnetic moment   21.1 Bohr magnetons per cell
Final energy   -8.4992 eV per atom

Cell lengths 6.7804, 6.7804, 6.7804 Å; angles 90.00, 90.00, 90.00 degrees
Last column: nearest neighbours and their distance in Å.
Space group F-43m (No. 216)
Symmetry-distinct sites (fractional):
1 Pu 0.0000 0.0000 0.0000 [4 per cell]  4 Ru 2.94, 4 Zn 2.94
2 Zr 0.0000 0.0000 0.5000 [4 per cell]  4 Ru 2.94, 4 Zn 2.94
3 Zn 0.2500 0.2500 0.2500 [4 per cell]  4 Zr 2.94, 4 Pu 2.94
4 Ru 0.2500 0.2500 0.7500 [4 per cell]  4 Zr 2.94, 4 Pu 2.94

---

No. 2
VASP calculation (PBE) on PrTh2Fe after structural relaxation.

Results
Theoretical density   9.95 g cm⁻³
Magnetic moment   1.6 Bohr magnetons per cell
Final energy   -6.9077 eV per atom

Cell lengths 3.5233, 3.5233, 8.8862 Å; angles 90.00, 90.00, 90.00 degrees
Last column: nearest neighbours and their distance in Å.
Space group P4/mmm (No. 123)
Symmetry-distinct sites (fractional):
1 Pr 0.0000 0.0000 0.0000 [1 per cell]  4 Pr 3.52, 8 Th 3.72
2 Th 0.5000 0.5000 0.3105 [2 per cell]  4 Fe 3.01
3 Fe 0.0000 0.0000 0.5000 [1 per cell]  8 Th 3.01

---

No. 3
VASP calculation (PBE) on Y6InGe2Te3 after structural relaxation.

Results
Theoretical density   5.72 g cm⁻³
Magnetic moment   0.0 Bohr magnetons per cell
ΔE_f (raw)   -1072 meV per atom

Cell lengths 18.9618, 4.2522, 8.7719 Å; angles 90.00, 104.98, 90.00 degrees
Last column: nearest neighbours and their distance in Å.
Space group C2/m (No. 12)
Symmetry-distinct sites (fractional):
1 Y 0.0081 0.0000 0.2555 [4 per cell]  1 Ge 2.91, 3 Te 3.05-3.17, 2 In 3.06
2 Y 0.1681 0.5000 0.1050 [4 per cell]  2 Ge 2.92, 3 Te 3.07-3.20, 1 In 3.08
3 Y 0.1743 0.5000 0.5650 [4 per cell]  3 Ge 2.91-2.92, 3 Te 3.20-3.21
4 In 0.0000 0.5000 0.0000 [2 per cell]  6 Y 3.06-3.08
5 Ge 0.1668 0.0000 0.3328 [4 per cell]  6 Y 2.91-2.92
6 Te 0.0000 0.5000 0.5000 [2 per cell]  6 Y 3.05-3.21
7 Te 0.1646 0.0000 0.8308 [4 per cell]  6 Y 3.07-3.20

---

No. 4
VASP calculation (PBE) on SeBrOF2 after structural relaxation.

Results
Theoretical density   4.65 g cm⁻³
Magnetic moment   1.2 Bohr magnetons per cell
ΔE_f (raw)   -353 meV per atom

Cell lengths 4.4920, 4.4920, 3.7642 Å; angles 90.00, 90.00, 90.00 degrees
Last column: nearest neighbours and their distance in Å.
Space group P4/mmm (No. 123)
Symmetry-distinct sites (fractional):
1 Se 0.0000 0.0000 0.0000 [1 per cell]  2 O 1.88
2 Br 0.5000 0.5000 0.5000 [1 per cell]  8 F 2.93, 4 O 3.18
3 O 0.0000 0.0000 0.5000 [1 per cell]  2 Se 1.88
4 F 0.0000 0.5000 0.0000 [2 per cell]  2 Se 2.25